[1]
## HoCd4Bi (PBE)

Data for a relaxed HoCd4Bi crystal.

**D(E_F)**: 16.03 states/eV per cell
**Calculated density**: 9.1 g/cm³
**Energy**: -50.35 eV/cell
**Energy relative to the elements**: -7.52 kJ/mol of atoms

Lattice parameters (Å, degrees): 8.4480 8.4480 8.4480 90.00 90.00 90.00
Space group F-43m (No. 216)
Symmetry-distinct sites (fractional):
Ho1 0.0000 0.0000 0.0000 [4 per cell]
Cd1 0.1254 0.1254 0.6254 [16 per cell]
Bi1 0.2500 0.2500 0.2500 [4 per cell]

***

[2]
## RhSeO (PBE)

Data for a relaxed RhSeO crystal.

**D(E_F)**: 2.09 states/eV per cell
**Calculated density**: 7.3 g/cm³
**Formation energy without anion corrections**: -0.4595 eV/atom
**Energy**: -68.69 eV/cell

Lattice parameters (Å, degrees): 5.6566 4.7706 6.6622 90.00 92.22 90.00
Space group P2_1/c (No. 14)
Symmetry-distinct sites (fractional):
Rh1 0.2207 0.0324 0.3500 [4 per cell]
Se1 0.4088 0.7051 0.5862 [4 per cell]
O1 0.1046 0.1518 0.6535 [4 per cell]

***

[3]
## ReSNCl2 (PBE)

Data for a relaxed ReSNCl2 crystal.

**D(E_F)**: 12.42 states/eV per cell
**Calculated density**: 5.0 g/cm³
**Formation energy without anion corrections**: 1.4402 eV/atom
**Energy**: -21.39 eV/cell

Lattice parameters (Å, degrees): 4.7347 4.7347 4.5022 90.00 90.00 90.00
Space group P4/mmm (No. 123)
Symmetry-distinct sites (fractional):
Re1 0.0000 0.0000 0.0000 [1 per cell]
S1 0.0000 0.0000 0.5000 [1 per cell]
N1 0.5000 0.5000 0.5000 [1 per cell]
Cl1 0.0000 0.5000 0.0000 [2 per cell]

***

[4]
## ZrAg2Hg (PBE)

Data for a relaxed ZrAg2Hg crystal.

**D(E_F)**: 1.79 states/eV per cell
**Calculated density**: 10.3 g/cm³
**Energy**: -14.53 eV/cell
**Energy relative to the elements**: 0.44 kJ/mol of atoms

Lattice parameters (Å, degrees): 2.8918 4.8462 5.8108 90.00 90.02 90.00
Space group P2/m (No. 10)
Symmetry-distinct sites (fractional):
Zr1 0.0000 0.0000 0.0000 [1 per cell]
Ag1 0.4980 0.5000 0.7622 [2 per cell]
Hg1 0.5000 0.0000 0.5000 [1 per cell]